DFT (GGA-PBE) results for a relaxed structure of CaCuRe2.

* formation energy from the elements: 0.596 eV/atom
* ΔE to the lowest computed polymorph: 1.25 eV per formula unit

Lattice parameters (Å, degrees): 2.6649 2.6649 9.0989 90.00 90.00 90.00
Closest atoms and distances in Å follow each position.
Space group P4/mmm (No. 123)
Unique sites:
1 Ca 0.0000 0.0000 0.0000 [1 per cell]  4 Ca 2.66
2 Cu 0.0000 0.0000 0.5000 [1 per cell]  4 Cu 2.66, 8 Re 2.73
3 Re 0.5000 0.5000 0.2822 [2 per cell]  4 Re 2.66, 4 Cu 2.73


DFT (GGA-PBE) results for a relaxed structure of MgMn2W2.

* formation energy from the elements: 0.374 eV/atom
* ΔE to the lowest computed polymorph: 0.33 eV per formula unit

Lattice parameters (Å, degrees): 4.0955 4.0955 9.7669 90.00 90.00 90.00
Closest atoms and distances in Å follow each position.
Space group I4/mmm (No. 139)
Unique sites:
1 Mg 0.0000 0.0000 0.0000 [2 per cell]  8 Mn 3.10, 8 W 3.19
2 Mn 0.0000 0.0000 0.3855 [4 per cell]  1 Mn 2.24, 4 W 2.44
3 W 0.0000 0.5000 0.2500 [4 per cell]  4 Mn 2.44


DFT (GGA-PBE) results for a relaxed structure of SrLaTlCd.

* formation energy from the elements: -0.387 eV/atom

Lattice parameters (Å, degrees): 8.0215 8.0215 8.0215 90.00 90.00 90.00
Closest atoms and distances in Å follow each position.
Space group F-43m (No. 216)
Unique sites:
1 Sr 0.0000 0.0000 0.0000 [4 per cell]  4 Tl 3.47, 4 Cd 3.47
2 La 0.0000 0.0000 0.5000 [4 per cell]  4 Cd 3.47, 4 Tl 3.47
3 Tl 0.2500 0.2500 0.2500 [4 per cell]  4 La 3.47, 4 Sr 3.47
4 Cd 0.2500 0.2500 0.7500 [4 per cell]  4 La 3.47, 4 Sr 3.47


DFT (GGA-PBE) results for a relaxed structure of CsNa2Tl6.

* formation energy from the elements: -0.039 eV/atom

Lattice parameters (Å, degrees): 5.4802 9.1052 13.5724 90.00 90.00 90.00
Closest atoms and distances in Å follow each position.
Space group Immm (No. 71)
Unique sites:
1 Cs 0.0000 0.0000 0.0000 [2 per cell]  8 Tl 4.05
2 Na 0.0000 0.5000 0.1339 [4 per cell]  10 Tl 3.41-3.64, 1 Na 3.64
3 Tl 0.0000 0.1722 0.5000 [4 per cell]  3 Tl 3.07-3.14
4 Tl 0.0000 0.1760 0.2740 [8 per cell]  4 Tl 3.07-3.20, 2 Na 3.41


DFT (GGA-PBE) results for a relaxed structure of NaInP2Cl.

* formation energy without anion corrections: 209 meV per atom
* ΔE to the lowest computed polymorph: 0.00 eV per formula unit

Lattice parameters (Å, degrees): 5.0701 5.0701 5.6761 90.00 90.00 90.00
Closest atoms and distances in Å follow each position.
Space group P4/mmm (No. 123)
Unique sites:
1 Na 0.0000 0.0000 0.0000 [1 per cell]  4 Cl 3.59, 8 P 3.81
2 In 0.5000 0.5000 0.5000 [1 per cell]  4 P 2.54, 2 Cl 2.84
3 P 0.0000 0.5000 0.5000 [2 per cell]  2 In 2.54
4 Cl 0.5000 0.5000 0.0000 [1 per cell]  2 In 2.84


DFT (GGA-PBE) results for a relaxed structure of Sr2LaTc.

* formation energy from the elements: 0.823 eV/atom
* ΔE to the lowest computed polymorph: 2.03 eV per formula unit

Lattice parameters (Å, degrees): 6.5049 10.7969 3.6079 90.00 90.00 90.00
Closest atoms and distances in Å follow each position.
Space group Cmmm (No. 65)
Unique sites:
1 Sr 0.2500 0.2500 0.0000 [4 per cell]  4 Sr 3.25-3.61, 4 La 3.63, 4 Tc 3.63
2 La 0.0000 0.0000 0.5000 [2 per cell]  2 Tc 3.25, 2 La 3.61, 8 Sr 3.63
3 Tc 0.0000 0.5000 0.5000 [2 per cell]  2 La 3.25, 2 Tc 3.61, 8 Sr 3.63